Entry 1:
Material: NbWS2Cl
Method: DFT, PBE-GGA
State: optimized geometry

The uncorrected formation energy comes out at 2.92 eV/f.u.

The space group is P4/mmm (No. 123) and the conventional cell measures 4.6774, 4.6774 and 4.7926 Å, with angles of 90.00, 90.00 and 90.00 degrees. The inequivalent atoms are Nb at (0.0000, 0.0000, 0.0000), W at (0.5000, 0.5000, 0.5000), S at (0.0000, 0.5000, 0.5000) and Cl at (0.5000, 0.5000, 0.0000).

***

Entry 2:
Material: NbWS2Cl
Method: DFT, PBE-GGA
State: optimized geometry

The uncorrected formation energy comes out at 3.63 eV/f.u.

The space group is P4/mmm (No. 123) and the conventional cell measures 4.8584, 4.8584 and 4.7277 Å, with angles of 90.00, 90.00 and 90.00 degrees. The inequivalent atoms are Nb at (0.0000, 0.0000, 0.0000), W at (0.5000, 0.5000, 0.5000), S at (0.0000, 0.5000, 0.0000) and Cl at (0.0000, 0.0000, 0.5000).

***

Entry 3:
Material: YNbS2Cl
Method: DFT, PBE-GGA
State: optimized geometry

The uncorrected formation energy comes out at -3.79 eV/f.u.

The space group is P4/mmm (No. 123) and the conventional cell measures 4.8110, 4.8110 and 4.8053 Å, with angles of 90.00, 90.00 and 90.00 degrees. The inequivalent atoms are Y at (0.0000, 0.0000, 0.0000), Nb at (0.5000, 0.5000, 0.5000), S at (0.0000, 0.5000, 0.5000) and Cl at (0.5000, 0.5000, 0.0000).

***

Entry 4:
Material: YNbS2Cl
Method: DFT, PBE-GGA
State: optimized geometry

The uncorrected formation energy comes out at -1.54 eV/f.u.

The space group is P4/mmm (No. 123) and the conventional cell measures 5.2518, 5.2518 and 4.9972 Å, with angles of 90.00, 90.00 and 90.00 degrees. The inequivalent atoms are Y at (0.0000, 0.0000, 0.0000), Nb at (0.5000, 0.5000, 0.5000), S at (0.0000, 0.5000, 0.0000) and Cl at (0.0000, 0.0000, 0.5000).

***

Entry 5:
Material: YNbSCl2
Method: DFT, PBE-GGA
State: optimized geometry

The uncorrected formation energy comes out at -2.40 eV/f.u.

The space group is P4/mmm (No. 123) and the conventional cell measures 5.1682, 5.1682 and 5.3484 Å, with angles of 90.00, 90.00 and 90.00 degrees. The inequivalent atoms are Y at (0.0000, 0.0000, 0.0000), Nb at (0.5000, 0.5000, 0.5000), S at (0.0000, 0.0000, 0.5000) and Cl at (0.0000, 0.5000, 0.0000).

***

Entry 6:
Material: YNbSCl2
Method: DFT, PBE-GGA
State: optimized geometry

The uncorrected formation energy comes out at -2.83 eV/f.u.

The space group is P4/mmm (No. 123) and the conventional cell measures 4.8840, 4.8840 and 4.8186 Å, with angles of 90.00, 90.00 and 90.00 degrees. The inequivalent atoms are Y at (0.0000, 0.0000, 0.0000), Nb at (0.5000, 0.5000, 0.5000), S at (0.5000, 0.5000, 0.0000) and Cl at (0.0000, 0.5000, 0.5000).

***

Entry 7:
Material: NbZnS2Cl
Method: DFT, PBE-GGA
State: optimized geometry

The uncorrected formation energy comes out at 1.73 eV/f.u.

The space group is P4/mmm (No. 123) and the conventional cell measures 4.6969, 4.6969 and 4.5786 Å, with angles of 90.00, 90.00 and 90.00 degrees. The inequivalent atoms are Nb at (0.0000, 0.0000, 0.0000), Zn at (0.5000, 0.5000, 0.5000), S at (0.0000, 0.5000, 0.5000) and Cl at (0.5000, 0.5000, 0.0000).

***

Entry 8:
Material: NbZnSCl2
Method: DFT, PBE-GGA
State: optimized geometry

The uncorrected formation energy comes out at -2.29 eV/f.u.

The space group is P4/mmm (No. 123) and the conventional cell measures 4.9664, 4.9664 and 4.7910 Å, with angles of 90.00, 90.00 and 90.00 degrees. The inequivalent atoms are Nb at (0.0000, 0.0000, 0.0000), Zn at (0.5000, 0.5000, 0.5000), S at (0.0000, 0.0000, 0.5000) and Cl at (0.0000, 0.5000, 0.0000).

***

| no. | size of the total moment (μB/f.u.) |
| --- | --- |
| 1 | 3.9 |
| 2 | 4.7 |
| 3 | 0.0 |
| 4 | 3.0 |
| 5 | 4.0 |
| 6 | 1.0 |
| 7 | 2.1 |
| 8 | 0.0 |